Here is a geometry-optimized KRbPdSe2S structure from OQMD. Energies are from PBE.

CIF file:
```
data_KRbPdSe2S
_chemical_formula_sum 'K2 Rb2 Pd2 Se4 S2'
_cell_length_a 6.7666
_cell_length_b 7.2092
_cell_length_c 9.4343
_cell_angle_alpha 69.69
_cell_angle_beta 70.20
_cell_angle_gamma 64.56
_symmetry_space_group_name_H-M 'P -1'
_symmetry_Int_Tables_number 2
_symmetry_space_group_name_Hall '-P 1'
loop_
_atom_site_label
_atom_site_type_symbol
_atom_site_fract_x
_atom_site_fract_y
_atom_site_fract_z
K1 K 0.1000 0.1846 0.1332
Rb1 Rb 0.3309 0.5460 0.3291
Pd1 Pd 0.3962 0.0401 0.6472
Se1 Se 0.1777 0.3497 0.7510
Se2 Se 0.3676 0.8312 0.9112
S1 S 0.2463 0.9700 0.4935
```

Output
For the total energy, the calculation gives -21.652 eV per formula unit.

=====

Here is a geometry-optimized K3RbSb2Pd2 structure from OQMD. Energies are from PBE.

CIF file:
```
data_K3RbSb2Pd2
_chemical_formula_sum 'K3 Rb1 Sb2 Pd2'
_cell_length_a 6.6065
_cell_length_b 6.1793
_cell_length_c 6.8115
_cell_angle_alpha 90.00
_cell_angle_beta 106.41
_cell_angle_gamma 90.00
_symmetry_space_group_name_H-M 'P 1 m 1'
_symmetry_Int_Tables_number 6
_symmetry_space_group_name_Hall 'P -2y'
loop_
_atom_site_label
_atom_site_type_symbol
_atom_site_fract_x
_atom_site_fract_y
_atom_site_fract_z
K1 K 0.0000 0.0000 0.0000
K2 K 0.3111 0.5000 0.3183
K3 K 0.6535 0.0000 0.3342
Rb1 Rb 0.9621 0.5000 0.6634
Sb1 Sb 0.2342 0.0000 0.5640
Sb2 Sb 0.7423 0.5000 0.0901
Pd1 Pd 0.4608 0.2419 0.8596
```

Output
For the total energy, the calculation gives -25.755 eV per formula unit.

=====

Here is a geometry-optimized KRbPdSe2 structure from OQMD. Energies are from PBE.

CIF file:
```
data_KRbPdSe2
_chemical_formula_sum 'K2 Rb2 Pd2 Se4'
_cell_length_a 3.8416
_cell_length_b 7.5846
_cell_length_c 10.0516
_cell_angle_alpha 90.00
_cell_angle_beta 90.00
_cell_angle_gamma 90.00
_symmetry_space_group_name_H-M 'I m m 2'
_symmetry_Int_Tables_number 44
_symmetry_space_group_name_Hall 'I 2 -2'
loop_
_atom_site_label
_atom_site_type_symbol
_atom_site_fract_x
_atom_site_fract_y
_atom_site_fract_z
K1 K 0.0000 0.0000 0.0000
Rb1 Rb 0.0000 0.0000 0.3931
Pd1 Pd 0.0000 0.5000 0.1975
Se1 Se 0.0000 0.2155 0.6975
```

Output
For the total energy, the calculation gives -18.675 eV per formula unit.

=====

Here is a geometry-optimized KRePd structure from OQMD. Energies are from PBE.

CIF file:
```
data_KRePd
_chemical_formula_sum 'K4 Re4 Pd4'
_cell_length_a 6.8556
_cell_length_b 6.8556
_cell_length_c 6.8556
_cell_angle_alpha 90.00
_cell_angle_beta 90.00
_cell_angle_gamma 90.00
_symmetry_space_group_name_H-M 'F -4 3 m'
_symmetry_Int_Tables_number 216
_symmetry_space_group_name_Hall 'F -4 2 3'
loop_
_atom_site_label
_atom_site_type_symbol
_atom_site_fract_x
_atom_site_fract_y
_atom_site_fract_z
K1 K 0.0000 0.0000 0.0000
Re1 Re 0.2500 0.2500 0.2500
Pd1 Pd 0.2500 0.2500 0.7500
```

Output
The total magnetization comes out at 4.187 μB per formula unit. The value obtained for the energy relative to the lowest polymorph listed for this composition is 69.27 kJ per mole of atoms.

=====

Here is a geometry-optimized KRePd structure from OQMD. Energies are from PBE.

CIF file:
```
data_KRePd
_chemical_formula_sum 'K4 Re4 Pd4'
_cell_length_a 6.7394
_cell_length_b 6.7394
_cell_length_c 6.7394
_cell_angle_alpha 90.00
_cell_angle_beta 90.00
_cell_angle_gamma 90.00
_symmetry_space_group_name_H-M 'F -4 3 m'
_symmetry_Int_Tables_number 216
_symmetry_space_group_name_Hall 'F -4 2 3'
loop_
_atom_site_label
_atom_site_type_symbol
_atom_site_fract_x
_atom_site_fract_y
_atom_site_fract_z
K1 K 0.0000 0.0000 0.0000
Re1 Re 0.0000 0.0000 0.5000
Pd1 Pd 0.2500 0.2500 0.2500
```

Output
The total magnetization comes out at 4.030 μB per formula unit. The value obtained for the energy relative to the lowest polymorph listed for this composition is 0.00 kJ per mole of atoms.

=====

Here is a geometry-optimized KPd3S5 structure from OQMD. Energies are from PBE.

CIF file:
```
data_KPd3S5
_chemical_formula_sum 'K1 Pd3 S5'
_cell_length_a 5.9797
_cell_length_b 5.9797
_cell_length_c 6.6622
_cell_angle_alpha 90.00
_cell_angle_beta 90.00
_cell_angle_gamma 120.00
_symmetry_space_group_name_H-M 'P 6/m m m'
_symmetry_Int_Tables_number 191
_symmetry_space_group_name_Hall '-P 6 2'
loop_
_atom_site_label
_atom_site_type_symbol
_atom_site_fract_x
_atom_site_fract_y
_atom_site_fract_z
K1 K 0.0000 0.0000 0.0000
Pd1 Pd 0.0000 0.5000 0.5000
S1 S 0.0000 0.0000 0.5000
S2 S 0.3333 0.6667 0.2567
```

Output
For the total energy, the calculation gives -39.953 eV per formula unit.

=====

Here is a geometry-optimized KSbPdS3 structure from OQMD. Energies are from PBE.

CIF file:
```
data_KSbPdS3
_chemical_formula_sum 'K2 Sb2 Pd2 S6'
_cell_length_a 8.6411
_cell_length_b 4.1019
_cell_length_c 9.2625
_cell_angle_alpha 90.00
_cell_angle_beta 103.88
_cell_angle_gamma 90.00
_symmetry_space_group_name_H-M 'P 1 21/m 1'
_symmetry_Int_Tables_number 11
_symmetry_space_group_name_Hall '-P 2yb'
loop_
_atom_site_label
_atom_site_type_symbol
_atom_site_fract_x
_atom_site_fract_y
_atom_site_fract_z
K1 K 0.1840 0.2500 0.2332
Sb1 Sb 0.3356 0.7500 0.8657
Pd1 Pd 0.0768 0.2500 0.5821
S1 S 0.1344 0.2500 0.8704
S2 S 0.1981 0.7500 0.5398
S3 S 0.4394 0.7500 0.1451
```

Output
For the total energy, the calculation gives -25.563 eV per formula unit.

=====

Here is a geometry-optimized KScPdS3 structure from OQMD. Energies are from PBE.

CIF file:
```
data_KScPdS3
_chemical_formula_sum 'K2 Sc2 Pd2 S6'
_cell_length_a 8.4311
_cell_length_b 3.7947
_cell_length_c 9.3409
_cell_angle_alpha 90.00
_cell_angle_beta 108.72
_cell_angle_gamma 90.00
_symmetry_space_group_name_H-M 'P 1 21/m 1'
_symmetry_Int_Tables_number 11
_symmetry_space_group_name_Hall '-P 2yb'
loop_
_atom_site_label
_atom_site_type_symbol
_atom_site_fract_x
_atom_site_fract_y
_atom_site_fract_z
K1 K 0.2026 0.2500 0.2344
Sc1 Sc 0.3405 0.7500 0.8560
Pd1 Pd 0.1037 0.2500 0.5831
S1 S 0.1256 0.2500 0.8478
S2 S 0.2510 0.7500 0.5556
S3 S 0.4499 0.7500 0.1441
```

Output
For the total energy, the calculation gives -31.880 eV per formula unit. The total magnetization comes out at 0.001 μB per formula unit.

=====

Here is a geometry-optimized K2PdSeS structure from OQMD. Energies are from PBE.

CIF file:
```
data_K2PdSeS
_chemical_formula_sum 'K4 Pd2 Se2 S2'
_cell_length_a 3.7332
_cell_length_b 9.6760
_cell_length_c 7.3049
_cell_angle_alpha 90.00
_cell_angle_beta 90.00
_cell_angle_gamma 90.00
_symmetry_space_group_name_H-M 'I m m 2'
_symmetry_Int_Tables_number 44
_symmetry_space_group_name_Hall 'I 2 -2'
loop_
_atom_site_label
_atom_site_type_symbol
_atom_site_fract_x
_atom_site_fract_y
_atom_site_fract_z
K1 K 0.0000 0.1938 0.0000
Pd1 Pd 0.0000 0.0000 0.5219
Se1 Se 0.0000 0.5000 0.7936
S1 S 0.0000 0.5000 0.2308
```

Output
For the total energy, the calculation gives -19.501 eV per formula unit.

=====

Here is a geometry-optimized K2TePdS structure from OQMD. Energies are from PBE.

CIF file:
```
data_K2TePdS
_chemical_formula_sum 'K4 Te2 Pd2 S2'
_cell_length_a 3.8318
_cell_length_b 10.1206
_cell_length_c 7.5398
_cell_angle_alpha 90.00
_cell_angle_beta 90.00
_cell_angle_gamma 90.00
_symmetry_space_group_name_H-M 'I m m 2'
_symmetry_Int_Tables_number 44
_symmetry_space_group_name_Hall 'I 2 -2'
loop_
_atom_site_label
_atom_site_type_symbol
_atom_site_fract_x
_atom_site_fract_y
_atom_site_fract_z
K1 K 0.0000 0.1916 0.0000
Te1 Te 0.0000 0.5000 0.1808
Pd1 Pd 0.0000 0.0000 0.4407
S1 S 0.0000 0.5000 0.7399
```

Output
For the total energy, the calculation gives -18.803 eV per formula unit.

=====

Here is a geometry-optimized K2UPd3S6 structure from OQMD. Energies are from PBE.

CIF file:
```
data_K2UPd3S6
_chemical_formula_sum 'K16 U8 Pd24 S48'
_cell_length_a 9.7499
_cell_length_b 14.2322
_cell_length_c 16.7686
_cell_angle_alpha 90.00
_cell_angle_beta 90.00
_cell_angle_gamma 90.00
_symmetry_space_group_name_H-M 'F m m m'
_symmetry_Int_Tables_number 69
_symmetry_space_group_name_Hall '-F 2 2'
loop_
_atom_site_label
_atom_site_type_symbol
_atom_site_fract_x
_atom_site_fract_y
_atom_site_fract_z
K1 K 0.0000 0.2050 0.0000
K2 K 0.2500 0.2500 0.2500
U1 U 0.0000 0.0000 0.3315
Pd1 Pd 0.1628 0.0000 0.1590
Pd2 Pd 0.1723 0.0000 0.5000
S1 S 0.0000 0.1141 0.2025
S2 S 0.1857 0.1146 0.3975
```

Output
For the total energy, the calculation gives -65.015 eV per formula unit. The total magnetization comes out at 2.003 μB per formula unit.

=====

Here is a geometry-optimized KYPdS3 structure from OQMD. Energies are from PBE.

CIF file:
```
data_KYPdS3
_chemical_formula_sum 'K2 Y2 Pd2 S6'
_cell_length_a 8.5970
_cell_length_b 4.0510
_cell_length_c 9.3892
_cell_angle_alpha 90.00
_cell_angle_beta 106.61
_cell_angle_gamma 90.00
_symmetry_space_group_name_H-M 'P 1 21/m 1'
_symmetry_Int_Tables_number 11
_symmetry_space_group_name_Hall '-P 2yb'
loop_
_atom_site_label
_atom_site_type_symbol
_atom_site_fract_x
_atom_site_fract_y
_atom_site_fract_z
K1 K 0.1958 0.2500 0.2223
Y1 Y 0.3314 0.7500 0.8551
Pd1 Pd 0.0952 0.2500 0.5820
S1 S 0.1125 0.2500 0.8506
S2 S 0.2094 0.7500 0.5393
S3 S 0.4524 0.7500 0.1536
```

Output
For the total energy, the calculation gives -32.463 eV per formula unit. The total magnetization comes out at 0.016 μB per formula unit.

=====

Here is a geometry-optimized KSbPd2 structure from OQMD. Energies are from PBE.

CIF file:
```
data_KSbPd2
_chemical_formula_sum 'K2 Sb2 Pd4'
_cell_length_a 4.5894
_cell_length_b 7.4735
_cell_length_c 6.3284
_cell_angle_alpha 90.00
_cell_angle_beta 90.00
_cell_angle_gamma 90.00
_symmetry_space_group_name_H-M 'P m m n'
_symmetry_Int_Tables_number 59
loop_
_symmetry_equiv_pos_as_xyz
'x,y,z'
'-x,-y,-z'
'-x+1/2,-y+1/2,z'
'x+1/2,y+1/2,-z'
'x+1/2,-y,-z'
'-x+1/2,y,z'
'-x,y+1/2,-z'
'x,-y+1/2,z'
loop_
_atom_site_label
_atom_site_type_symbol
_atom_site_fract_x
_atom_site_fract_y
_atom_site_fract_z
K1 K 0.2500 0.2500 0.1150
Sb1 Sb 0.2500 0.7500 0.3974
Pd1 Pd 0.2500 0.0631 0.6026
```

Output
For the total energy, the calculation gives -17.456 eV per formula unit.

=====

Here is a geometry-optimized K5Sb2Pd structure from OQMD. Energies are from PBE.

CIF file:
```
data_K5Sb2Pd
_chemical_formula_sum 'K15 Sb6 Pd3'
_cell_length_a 5.9358
_cell_length_b 5.9358
_cell_length_c 28.9299
_cell_angle_alpha 90.00
_cell_angle_beta 90.00
_cell_angle_gamma 120.00
_symmetry_space_group_name_H-M 'R -3 m'
_symmetry_Int_Tables_number 166
_symmetry_space_group_name_Hall '-R 3 2"'
loop_
_atom_site_label
_atom_site_type_symbol
_atom_site_fract_x
_atom_site_fract_y
_atom_site_fract_z
K1 K 0.0000 0.0000 0.0000
K2 K 0.0000 0.0000 0.1382
K3 K 0.0000 0.0000 0.2806
Sb1 Sb 0.0000 0.0000 0.4100
Pd1 Pd 0.0000 0.0000 0.5000
```

Output
For the total energy, the calculation gives -22.041 eV per formula unit.

=====

Here is a geometry-optimized KSb5Pd3 structure from OQMD. Energies are from PBE.

CIF file:
```
data_KSb5Pd3
_chemical_formula_sum 'K1 Sb5 Pd3'
_cell_length_a 5.6853
_cell_length_b 5.6853
_cell_length_c 8.7486
_cell_angle_alpha 90.00
_cell_angle_beta 90.00
_cell_angle_gamma 120.00
_symmetry_space_group_name_H-M 'P 6/m m m'
_symmetry_Int_Tables_number 191
_symmetry_space_group_name_Hall '-P 6 2'
loop_
_atom_site_label
_atom_site_type_symbol
_atom_site_fract_x
_atom_site_fract_y
_atom_site_fract_z
K1 K 0.0000 0.0000 0.0000
Sb1 Sb 0.0000 0.0000 0.5000
Sb2 Sb 0.3333 0.6667 0.2417
Pd1 Pd 0.0000 0.5000 0.5000
```

Output
For the total energy, the calculation gives -40.016 eV per formula unit.

=====

Here is a geometry-optimized KSbPdSe3 structure from OQMD. Energies are from PBE.

CIF file:
```
data_KSbPdSe3
_chemical_formula_sum 'K2 Sb2 Pd2 Se6'
_cell_length_a 8.9024
_cell_length_b 4.2594
_cell_length_c 9.5666
_cell_angle_alpha 90.00
_cell_angle_beta 104.49
_cell_angle_gamma 90.00
_symmetry_space_group_name_H-M 'P 1 21/m 1'
_symmetry_Int_Tables_number 11
_symmetry_space_group_name_Hall '-P 2yb'
loop_
_atom_site_label
_atom_site_type_symbol
_atom_site_fract_x
_atom_site_fract_y
_atom_site_fract_z
K1 K 0.1936 0.2500 0.2491
Sb1 Sb 0.3286 0.7500 0.8697
Pd1 Pd 0.0709 0.2500 0.5860
Se1 Se 0.1193 0.2500 0.8749
Se2 Se 0.2066 0.7500 0.5479
Se3 Se 0.4501 0.7500 0.1576
```

Output
For the total energy, the calculation gives -23.727 eV per formula unit.

=====

Here is a geometry-optimized KSbTe3Pd structure from OQMD. Energies are from PBE.

CIF file:
```
data_KSbTe3Pd
_chemical_formula_sum 'K2 Sb2 Te6 Pd2'
_cell_length_a 9.4084
_cell_length_b 4.5247
_cell_length_c 9.9171
_cell_angle_alpha 90.00
_cell_angle_beta 102.08
_cell_angle_gamma 90.00
_symmetry_space_group_name_H-M 'P 1 21/m 1'
_symmetry_Int_Tables_number 11
_symmetry_space_group_name_Hall '-P 2yb'
loop_
_atom_site_label
_atom_site_type_symbol
_atom_site_fract_x
_atom_site_fract_y
_atom_site_fract_z
K1 K 0.1843 0.2500 0.2575
Sb1 Sb 0.3374 0.7500 0.8774
Te1 Te 0.1145 0.2500 0.8720
Te2 Te 0.2044 0.7500 0.5623
Te3 Te 0.4542 0.7500 0.1802
Pd1 Pd 0.0625 0.2500 0.5897
```

Output
For the total energy, the calculation gives -22.128 eV per formula unit.

=====

Here is a geometry-optimized KScTe3Pd structure from OQMD. Energies are from PBE.

CIF file:
```
data_KScTe3Pd
_chemical_formula_sum 'K4 Sc4 Te12 Pd4'
_cell_length_a 4.2988
_cell_length_b 17.5503
_cell_length_c 9.8758
_cell_angle_alpha 90.00
_cell_angle_beta 90.00
_cell_angle_gamma 90.00
_symmetry_space_group_name_H-M 'C m c m'
_symmetry_Int_Tables_number 63
_symmetry_space_group_name_Hall '-C 2c 2'
loop_
_atom_site_label
_atom_site_type_symbol
_atom_site_fract_x
_atom_site_fract_y
_atom_site_fract_z
K1 K 0.0000 0.2420 0.2500
Sc1 Sc 0.0000 0.0000 0.0000
Te1 Te 0.0000 0.0965 0.7500
Te2 Te 0.0000 0.3904 0.5764
Pd1 Pd 0.0000 0.4959 0.2500
```

Output
The total magnetization comes out at 0.000 μB per formula unit. The value obtained for the energy relative to the lowest polymorph listed for this composition is 0.00 kJ per mole of atoms.

=====

Here is a geometry-optimized KScTe3Pd structure from OQMD. Energies are from PBE.

CIF file:
```
data_KScTe3Pd
_chemical_formula_sum 'K2 Sc2 Te6 Pd2'
_cell_length_a 9.4154
_cell_length_b 4.1730
_cell_length_c 10.6206
_cell_angle_alpha 90.00
_cell_angle_beta 116.07
_cell_angle_gamma 90.00
_symmetry_space_group_name_H-M 'P 1 21/m 1'
_symmetry_Int_Tables_number 11
_symmetry_space_group_name_Hall '-P 2yb'
loop_
_atom_site_label
_atom_site_type_symbol
_atom_site_fract_x
_atom_site_fract_y
_atom_site_fract_z
K1 K 0.0260 0.2500 0.2584
Sc1 Sc 0.4686 0.2500 0.1515
Te1 Te 0.2451 0.7500 0.1400
Te2 Te 0.3052 0.2500 0.8477
Te3 Te 0.3132 0.7500 0.5376
Pd1 Pd 0.4920 0.7500 0.3947
```

Output
The total magnetization comes out at 0.001 μB per formula unit. The value obtained for the energy relative to the lowest polymorph listed for this composition is 2.13 kJ per mole of atoms.

=====

Here is a geometry-optimized KPd3Se5 structure from OQMD. Energies are from PBE.

CIF file:
```
data_KPd3Se5
_chemical_formula_sum 'K1 Pd3 Se5'
_cell_length_a 6.1028
_cell_length_b 6.1028
_cell_length_c 6.9824
_cell_angle_alpha 90.00
_cell_angle_beta 90.00
_cell_angle_gamma 120.00
_symmetry_space_group_name_H-M 'P 6/m m m'
_symmetry_Int_Tables_number 191
_symmetry_space_group_name_Hall '-P 6 2'
loop_
_atom_site_label
_atom_site_type_symbol
_atom_site_fract_x
_atom_site_fract_y
_atom_site_fract_z
K1 K 0.0000 0.0000 0.0000
Pd1 Pd 0.0000 0.5000 0.5000
Se1 Se 0.0000 0.0000 0.5000
Se2 Se 0.3333 0.6667 0.2474
```

Output
For the total energy, the calculation gives -37.282 eV per formula unit.